## Na3Sb2 (GGA-PBE)

Data for crystalline Na3Sb2 at its relaxed geometry.

The structure in POSCAR format:
```
Na3Sb2
1.0
9.153 0.000 0.000
4.577 7.927 0.000
4.577 2.642 4.118
Sb Na
4 6
Direct
0.623 0.623 0.130
0.123 0.123 0.630
0.877 0.877 0.370
0.377 0.377 0.870
0.934 0.250 0.250
0.566 0.934 0.250
0.434 0.066 0.750
0.066 0.750 0.750
0.750 0.434 0.750
0.250 0.566 0.250
```

Properties
- symmetry = R-3c, No. 167
- polymorph energy (0 for the lowest one) (kJ per mole of atoms) = 4.1
- raw total energy (eV for the cell shown) = -27.43
- formation energy from raw total energies (meV/atom) = -303
- crystal system = trigonal